The following is a PBE+U calculation of a geometry-optimized MnGaRuO6 structure, from Alexandria.

Geometry as CIF:
```
data_MnGaRuO6
_chemical_formula_sum 'Mn2 Ga2 Ru2 O12'
_cell_length_a 4.556
_cell_length_b 4.556
_cell_length_c 9.052
_cell_angle_alpha 90.00
_cell_angle_beta 90.00
_cell_angle_gamma 90.00
_space_group_name_H-M_alt 'P 42 n m'
_space_group_IT_number 102
_space_group_name_Hall 'P 4n -2n'
loop_
_atom_site_label
_atom_site_type_symbol
_atom_site_fract_x
_atom_site_fract_y
_atom_site_fract_z
Mn1 Mn 0.000 0.000 0.000
Ga1 Ga 0.000 0.000 0.332
Ru1 Ru 0.000 0.000 0.666
O1 O 0.191 0.191 0.835
O2 O 0.197 0.197 0.164
O3 O 0.197 0.197 0.501
```

As for the density: 5.69 Mg/m³. The calculated total energy comes out at -6.754 eV/atom.